# 1
DFT (PBE+U) results for a relaxed K4Mn3GaF12 crystal.

Cell lengths 7.3943, 7.3943, 7.3943 Å; angles 109.47, 109.47, 109.47 degrees
Element x y z (fractional)
F 0.5000 0.7500 0.2500
Mn 0.0000 0.5000 0.5000
F 0.0000 0.7483 0.7483
K 0.5000 0.0000 0.0000
F 0.7483 0.0000 0.7483
F 0.2517 0.0000 0.2517
F 0.2500 0.5000 0.7500
K 0.0000 0.5000 0.0000
F 0.7483 0.7483 0.0000
Ga 0.0000 0.0000 0.0000
F 0.7500 0.5000 0.2500
F 0.2500 0.7500 0.5000
F 0.0000 0.2517 0.2517
F 0.7500 0.2500 0.5000
Mn 0.5000 0.5000 0.0000
K 0.0000 0.0000 0.5000
F 0.5000 0.2500 0.7500
K 0.5000 0.5000 0.5000
Mn 0.5000 0.0000 0.5000
F 0.2517 0.2517 0.0000

volume = 311 Å³/f.u.
calculated density = 3.3 g/cm3
raw total energy = -105.5 eV for the cell shown


# 2
DFT (PBE+U) results for a relaxed KGaMoF6 crystal.

Cell lengths 5.6740, 5.6626, 5.5205 Å; angles 89.97, 89.86, 59.83 degrees
Element x y z (fractional)
F 0.3508 0.0393 0.6931
F 0.6125 0.3504 0.6902
F 0.3475 0.6075 0.3026
Mo 0.6652 0.6687 0.5000
K 0.9989 0.0020 0.0001
F 0.6106 0.0383 0.3074
F 0.0372 0.3496 0.3102
Ga 0.3326 0.3350 0.5000
F 0.0444 0.6091 0.6965

volume = 153 Å³/f.u.
calculated density = 3.5 g/cm3
raw total energy = -44.1 eV for the cell shown